Cs2SbTeO6 | PBE-GGA | relaxed

Crystal system: cubic
Total DFT energy (no corrections) (eV/atom): -4.984
E_form (uncorrected) (eV/atom): -1.11
Space group: Fm-3m (225)

Unit cell a=5.9708 b=5.9708 c=5.9708 alpha=60.00 beta=60.00 gamma=60.00
With the nearest neighbours (Å) after each atom.
Atoms (fractional coordinates):
Cs1 0.2500 0.2500 0.2500  12 O 2.99
Cs2 0.7500 0.7500 0.7500  12 O 2.99
Sb1 0.0000 0.0000 0.0000  6 O 2.14
Te1 0.5000 0.5000 0.5000  6 O 2.08
O1 0.2535 0.2535 0.7465  1 Te 2.08, 1 Sb 2.14
O2 0.2535 0.7465 0.2535  1 Te 2.08, 1 Sb 2.14
O3 0.2535 0.7465 0.7465  1 Te 2.08, 1 Sb 2.14
O4 0.7465 0.2535 0.2535  1 Te 2.08, 1 Sb 2.14
O5 0.7465 0.2535 0.7465  1 Te 2.08, 1 Sb 2.14
O6 0.7465 0.7465 0.2535  1 Te 2.08, 1 Sb 2.14


CoAsW2 | PBE-GGA | relaxed

Energy of formation (meV/atom): 1146
Crystal system: tetragonal
Total DFT energy (no corrections) (eV/atom): -8.269
Space group: I-42d (122)

Unit cell a=6.7097 b=6.7097 c=6.7097 alpha=131.77 beta=131.77 gamma=70.59
With the nearest neighbours (Å) after each atom.
Atoms (fractional coordinates):
Co1 0.0000 0.0000 0.0000  4 W 2.26
Co2 0.7500 0.2500 0.5000  4 W 2.26
As1 0.2500 0.7500 0.5000  4 W 2.50
As2 0.5000 0.5000 0.0000  4 W 2.50
W1 0.0877 0.6250 0.9627  2 Co 2.26, 2 As 2.50
W2 0.3750 0.3377 0.4627  2 Co 2.26, 2 As 2.50
W3 0.6623 0.1250 0.0373  2 Co 2.26, 2 As 2.50
W4 0.8750 0.9123 0.5373  2 Co 2.26, 2 As 2.50


Volume
In order: 150.5; 164.6
Unit: Å³/cell